PBE-GGA Zr2TcIrN, relaxed; M_tot = 0.0000 μB per atom; DOS(E_F) = 0.76 states/eV/atom; raw total energy = -9.704 eV per atom; formation energy from raw total energies = -0.774 eV per atom
1.0
-3.848 -1.509 -1.807
0.244 -3.700 2.570
-2.021 1.808 2.794
Zr N Tc Ir
2 1 1 1
Direct
0.500 0.000 0.000 Zr
0.000 0.500 0.000 Zr
0.000 0.000 0.000 N
0.000 0.000 0.500 Tc
0.500 0.500 0.500 Ir